Version 1
K3Te3P meta-GGA SCAN PBEsol geometry; space-group type = P2_13
1.0
10.2313 0.0000 0.0000
0.0000 10.2313 0.0000
0.0000 0.0000 10.2313
K Te P
12 12 4
direct
0.0679 0.0679 0.0679
0.0694 0.9306 0.4306
0.1732 0.3268 0.6732
0.3268 0.6732 0.1732
0.4306 0.0694 0.9306
0.4321 0.9321 0.5679
0.5679 0.4321 0.9321
0.5694 0.5694 0.5694
0.6732 0.1732 0.3268
0.8268 0.8268 0.8268
0.9306 0.4306 0.0694
0.9321 0.5679 0.4321
0.0406 0.2568 0.3546
0.1454 0.9594 0.7568
0.2432 0.6454 0.5406
0.2568 0.3546 0.0406
0.3546 0.0406 0.2568
0.4594 0.7432 0.8546
0.5406 0.2432 0.6454
0.6454 0.5406 0.2432
0.7432 0.8546 0.4594
0.7568 0.1454 0.9594
0.8546 0.4594 0.7432
0.9594 0.7568 0.1454
0.2276 0.7276 0.7724
0.2724 0.2724 0.2724
0.7276 0.7724 0.2276
0.7724 0.2276 0.7276



Version 2
K3Te3P meta-GGA SCAN PBEsol geometry; space-group type = P2_1/c
1.0
8.8900 0.0000 0.0000
0.0000 12.9702 0.0000
-3.9023 0.0000 8.7674
K Te P
12 12 4
direct
0.0098 0.1579 0.4978
0.0098 0.3421 0.9978
0.2272 0.0580 0.1936
0.2272 0.4420 0.6936
0.4415 0.7227 0.7821
0.4415 0.7773 0.2821
0.5585 0.2227 0.7179
0.5585 0.2773 0.2179
0.7728 0.5580 0.3064
0.7728 0.9420 0.8064
0.9902 0.6579 0.0022
0.9902 0.8421 0.5022
0.1878 0.6250 0.4032
0.1878 0.8750 0.9032
0.2627 0.1793 0.8788
0.2627 0.3207 0.3788
0.3463 0.5163 0.0833
0.3463 0.9837 0.5833
0.6537 0.0163 0.4167
0.6537 0.4837 0.9167
0.7373 0.6793 0.6212
0.7373 0.8207 0.1212
0.8122 0.1250 0.0968
0.8122 0.3750 0.5968
0.3769 0.0043 0.8594
0.3769 0.4957 0.3594
0.6231 0.5043 0.6406
0.6231 0.9957 0.1406



Least stable structure: version 2



Version 1
K2TlP meta-GGA SCAN PBEsol geometry; space-group type = C2/m
1.0
5.2492 -1.6288 0.0000
5.2492 1.6288 0.0000
-0.7388 0.0000 6.9576
K Tl P
2 1 1
direct
0.2380 0.2380 0.2122
0.7620 0.7620 0.7878
0.0000 0.0000 0.5000
0.5000 0.5000 0.0000



Version 2
K2TlP meta-GGA SCAN PBEsol geometry; space-group type = R-3m
1.0
1.7574 1.0146 11.1410
-1.7574 1.0146 11.1410
0.0000 -2.0292 11.1410
K Tl P
2 1 1
direct
0.2377 0.2377 0.2377
0.7623 0.7623 0.7623
0.0000 0.0000 0.0000
0.5000 0.5000 0.5000



Least stable structure: version 2



Version 1
K2TlP meta-GGA SCAN PBEsol geometry; space-group type = Pm
1.0
5.0795 0.0000 0.0000
0.0000 4.1763 0.0000
-2.5275 0.0000 6.2410
K Tl P
2 1 1
direct
0.0000 0.0000 0.0000
0.3026 0.5000 0.6048
0.7010 0.0000 0.4014
0.5670 0.5000 0.1370



Version 2
K2TlP meta-GGA SCAN PBEsol geometry; space-group type = Imm2
1.0
-2.0254 2.7494 5.5999
2.0254 -2.7494 5.5999
2.0254 2.7494 -5.5999
K Tl P
2 1 1
direct
0.0000 0.0000 0.0000
0.6788 0.1788 0.5000
0.3884 0.3884 0.0000
0.2334 0.7334 0.5000



Least stable structure: version 2



Version 1
KSb2Pb2 meta-GGA SCAN PBEsol geometry; space-group type = I4/mmm
1.0
-2.7967 2.7967 5.6963
2.7967 -2.7967 5.6963
2.7967 2.7967 -5.6963
K Sb Pb
1 2 2
direct
0.0000 0.0000 0.0000
0.2500 0.7500 0.5000
0.7500 0.2500 0.5000
0.3614 0.3614 0.0000
0.6386 0.6386 0.0000



Version 2
KSb2Pb2 meta-GGA SCAN PBEsol geometry; space-group type = P4/mbm
1.0
8.9600 0.0000 0.0000
0.0000 8.9600 0.0000
0.0000 0.0000 3.9224
K Sb Pb
2 4 4
direct
0.0000 0.0000 0.0000
0.5000 0.5000 0.0000
0.1561 0.3439 0.5000
0.3439 0.8439 0.5000
0.6561 0.1561 0.5000
0.8439 0.6561 0.5000
0.1303 0.6303 0.0000
0.3697 0.1303 0.0000
0.6303 0.8697 0.0000
0.8697 0.3697 0.0000



Least stable structure: version 2



Version 1
K2SbPb meta-GGA SCAN PBEsol geometry; space-group type = I-4m2
1.0
-2.6675 2.6675 4.6561
2.6675 -2.6675 4.6561
2.6675 2.6675 -4.6561
K Sb Pb
2 1 1
direct
0.0000 0.0000 0.0000
0.7500 0.2500 0.5000
0.2500 0.7500 0.5000
0.5000 0.5000 0.0000



Version 2
K2SbPb meta-GGA SCAN PBEsol geometry; space-group type = Imm2
1.0
-2.2135 2.8798 5.5945
2.2135 -2.8798 5.5945
2.2135 2.8798 -5.5945
K Sb Pb
2 1 1
direct
0.0000 0.0000 0.0000
0.7091 0.2091 0.5000
0.4461 0.4461 0.0000
0.2727 0.7727 0.5000



Least stable structure: version 1



Version 1
KSn2Pb2 meta-GGA SCAN PBEsol geometry; space-group type = I4/mmm
1.0
-2.5054 2.5054 6.8328
2.5054 -2.5054 6.8328
2.5054 2.5054 -6.8328
K Sn Pb
1 2 2
direct
0.0000 0.0000 0.0000
0.2500 0.7500 0.5000
0.7500 0.2500 0.5000
0.3815 0.3815 0.0000
0.6185 0.6185 0.0000



Version 2
KSn2Pb2 meta-GGA SCAN PBEsol geometry; space-group type = P4/mbm
1.0
9.2296 0.0000 0.0000
0.0000 9.2296 0.0000
0.0000 0.0000 3.6344
K Sn Pb
2 4 4
direct
0.0000 0.0000 0.0000
0.5000 0.5000 0.0000
0.1545 0.3455 0.5000
0.3455 0.8455 0.5000
0.6545 0.1545 0.5000
0.8455 0.6545 0.5000
0.1361 0.6361 0.0000
0.3639 0.1361 0.0000
0.6361 0.8639 0.0000
0.8639 0.3639 0.0000



Least stable structure: version 2